## TlVCl3 (GGA-PBE)

Data for a relaxed structure of TlVCl3.

The structure belongs to space group Pm-3m (No. 221); the cell edges are 5.4872, 5.4872 and 5.4872 Å and the angles 90.00°, 90.00° and 90.00°. The asymmetric unit holds Tl at (0.0000, 0.0000, 0.0000), V at (0.5000, 0.5000, 0.5000) and Cl at (0.0000, 0.0000, 0.5000).

The formation energy from raw total energies is 0.098 eV per atom. Its density is 3.64 g/cm3. The density of states at the Fermi level comes out at 13.1 states/eV/cell.

---

## Tl3VCl (GGA-PBE)

Data for a relaxed structure of Tl3VCl.

The structure belongs to space group Pm-3m (No. 221); the cell edges are 5.7509, 5.7509 and 5.7509 Å and the angles 90.00°, 90.00° and 90.00°. The asymmetric unit holds Tl at (0.0000, 0.0000, 0.5000), V at (0.5000, 0.5000, 0.5000) and Cl at (0.0000, 0.0000, 0.0000).

The formation energy from raw total energies is 0.596 eV per atom. Its density is 6.11 g/cm3. The density of states at the Fermi level comes out at 8.4 states/eV/cell.

---

Copy entry 2 word for word.
## Tl3VCl (GGA-PBE)

Data for a relaxed structure of Tl3VCl.

The structure belongs to space group Pm-3m (No. 221); the cell edges are 5.7509, 5.7509 and 5.7509 Å and the angles 90.00°, 90.00° and 90.00°. The asymmetric unit holds Tl at (0.0000, 0.0000, 0.5000), V at (0.5000, 0.5000, 0.5000) and Cl at (0.0000, 0.0000, 0.0000).

The formation energy from raw total energies is 0.596 eV per atom. Its density is 6.11 g/cm3. The density of states at the Fermi level comes out at 8.4 states/eV/cell.

---

Look up the formation energy from raw total energies of the first one. 0.098 eV per atom

---

The lowest density of states at the Fermi level belongs to which entry? Tl3VCl

---

Which value of density of states at the Fermi level does entry 1 give? 13.1 states/eV/cell